--- one ---
CaVBiO5: optimized geometry, GGA+U.

total magnetization: 0.0 μB per formula unit

The structure in POSCAR format:
```
CaVBiO5
1.0
-1.365 1.632 -5.427
-6.869 -0.944 4.671
0.652 11.393 3.262
O Bi V Ca
20 4 4 4
Cartesian
-4.191 6.712 0.084
-4.736 2.266 0.863
-1.894 5.119 -3.739
-6.092 6.517 2.564
-3.215 8.093 3.688
0.219 11.487 1.927
-2.062 7.923 -2.449
-7.801 0.594 0.579
-1.489 5.564 -0.058
-4.585 10.634 3.745
-2.846 9.815 1.644
-5.519 4.158 4.956
-5.687 6.962 6.245
-7.299 9.005 3.473
-0.282 3.076 -0.966
-4.367 3.988 -1.181
-1.725 10.542 4.193
-2.996 1.447 -1.238
-5.856 1.539 -1.686
-3.391 5.369 2.423
-6.318 10.968 2.139
-1.264 1.113 0.367
-2.406 7.039 1.491
-5.175 5.042 1.016
-7.352 7.742 2.278
-3.098 9.795 3.342
-0.230 4.339 0.229
-4.484 2.286 -0.835
-4.533 6.274 4.365
-3.049 5.807 -1.858
-6.013 0.816 2.131
-1.569 11.265 0.376
```

=====

--- two ---
CaVBiO5: optimized geometry, GGA+U.

total magnetization: 0.0 μB per formula unit

The structure in POSCAR format:
```
CaVBiO5
1.0
5.540 0.000 0.000
0.000 11.373 0.000
0.000 0.000 15.815
O Ca Bi V
40 8 8 8
Cartesian
3.928 5.167 8.937
4.571 5.417 5.922
4.196 8.316 10.320
5.186 3.708 10.995
3.739 5.417 13.829
5.186 9.395 12.726
3.928 10.853 14.785
2.416 7.664 12.726
4.196 2.630 13.402
0.354 1.978 3.088
3.125 3.708 3.088
1.345 8.743 2.413
4.839 2.098 0.401
0.354 7.664 4.819
0.969 5.956 9.893
1.612 0.520 1.030
2.069 9.275 7.507
4.383 10.853 6.878
4.571 11.103 1.986
0.702 9.275 15.414
1.612 6.206 6.878
0.702 3.589 8.308
2.069 3.589 0.401
3.472 2.098 8.308
0.969 0.270 13.829
1.801 0.270 5.922
1.345 3.057 5.495
4.115 8.316 2.413
4.383 5.167 1.030
3.125 9.395 4.819
4.839 7.784 7.507
1.158 6.206 14.785
1.801 5.956 1.986
4.115 2.630 5.495
3.739 11.103 9.893
1.158 0.520 8.937
1.425 8.743 10.320
2.416 1.978 10.995
3.472 7.784 15.414
1.425 3.057 13.402
2.747 7.289 8.728
5.517 4.083 14.994
0.024 7.289 0.821
0.024 1.603 7.086
2.794 4.083 7.086
5.517 9.770 8.728
2.794 9.770 0.821
2.747 1.603 14.994
2.506 7.445 3.652
3.035 9.614 11.560
0.265 7.445 11.560
2.506 1.758 4.255
5.276 3.928 4.255
0.265 1.758 12.162
3.035 3.928 12.162
5.276 9.614 3.652
2.701 1.098 9.468
2.701 6.785 14.254
5.471 4.588 9.468
2.840 4.588 1.560
2.840 10.275 6.347
0.069 1.098 1.560
0.069 6.785 6.347
5.471 10.275 14.254
```

=====

The energy of each structure relative to the most stable one, in eV/atom, is as follows: one 0.009; two 0.000.

=====

--- one ---
Ca2BiWO6: optimized geometry, GGA+U.

total magnetization: 1.0 μB per formula unit

The structure in POSCAR format:
```
Ca2BiWO6
1.0
5.196 0.000 0.000
0.000 5.720 0.000
0.000 0.000 5.720
Ca O W Bi
2 6 1 1
Cartesian
5.023 0.000 2.860
5.023 2.860 0.000
3.823 4.404 4.404
0.818 2.860 2.860
3.823 1.317 4.404
3.823 4.404 1.317
1.281 0.000 0.000
3.823 1.317 1.317
3.102 0.000 0.000
2.956 2.860 2.860
```

=====

--- two ---
Ca2BiWO6: optimized geometry, GGA+U.

total magnetization: 1.0 μB per formula unit

The structure in POSCAR format:
```
Ca2BiWO6
1.0
5.979 0.000 0.000
0.000 5.671 0.021
0.000 5.612 8.304
Ca Bi O W
4 2 12 2
Cartesian
0.314 2.877 2.142
5.665 8.406 6.183
3.303 5.600 2.031
2.675 5.683 6.294
0.000 0.000 0.000
2.989 2.806 4.152
1.989 4.468 0.422
4.978 4.009 3.751
2.562 2.123 1.896
4.689 3.786 0.678
1.700 4.691 3.495
5.551 6.354 2.277
1.290 7.497 7.647
3.990 6.815 7.903
1.001 7.274 4.575
0.428 4.929 6.048
3.417 9.160 6.429
4.279 6.592 4.830
2.989 2.836 0.010
0.000 5.641 4.163
```

=====

The energy of each structure relative to the most stable one, in eV/atom, is as follows: one 0.154; two 0.000.

=====

--- one ---
Ca2BiWO6: optimized geometry, GGA+U.

total magnetization: 1.0 μB per formula unit

The structure in POSCAR format:
```
Ca2BiWO6
1.0
5.515 -2.924 0.000
5.515 2.924 0.000
3.965 0.000 4.821
O Bi Ca W
6 1 2 1
Cartesian
9.252 2.114 3.218
9.919 -0.857 1.144
7.021 1.366 0.356
5.828 0.884 4.067
8.798 -1.258 4.630
6.552 -2.250 1.814
6.793 0.000 2.184
3.254 0.000 1.046
10.393 0.000 3.341
0.171 0.000 0.055
```

=====

--- two ---
Ca2BiWO6: optimized geometry, GGA+U.

total magnetization: 1.0 μB per formula unit

The structure in POSCAR format:
```
Ca2BiWO6
1.0
0.000 4.255 4.255
4.255 0.000 4.255
4.255 4.255 0.000
Ca O Bi W
2 6 1 1
Cartesian
2.128 2.128 2.128
6.383 6.383 6.383
4.255 2.279 4.255
6.232 4.255 4.255
2.279 4.255 4.255
4.255 4.255 2.279
4.255 4.255 6.232
4.255 6.232 4.255
0.000 0.000 0.000
4.255 4.255 4.255
```

=====

The energy of each structure relative to the most stable one, in eV/atom, is as follows: one 0.000; two 0.309.